Here is a geometry-optimized Ga2BPPt structure from the Alexandria database. Energies are from PBE.

Cell and atoms, written as POSCAR:
```
Ga2BPPt
1.0
4.8104 0.0000 0.0000
0.0000 4.8104 0.0000
0.0000 0.0000 4.7038
Ga B P Pt
2 1 1 1
Direct
0.0000 0.5000 0.0000
0.5000 0.0000 0.0000
0.0000 0.0000 0.5000
0.5000 0.5000 0.5000
0.5000 0.5000 0.0000
```

Total energy = -3.84 eV per atom
Theoretical density = 5.7 g/cm3
Fermi-level density of states = 3.04 states/eV/f.u.
Space-group type = No. 123
ΔE_f = 1.00 eV per atom